Material: Pm3Er12Zr
Method: DFT, PBE
State: relaxed

ΔE_f: 0.04 eV per atom
Energy: -4.811 eV/atom

a b c (Å): 4.9618 4.9618 19.8864
angles (deg): 90.00 90.00 90.00
Space group P4/mmm (No. 123)
Asymmetric unit:
Pm (0.0000, 0.0000, 0.0000)
Pm (0.0000, 0.0000, 0.2524)
Er (0.0000, 0.5000, 0.1273)
Er (0.0000, 0.5000, 0.3837)
Er (0.5000, 0.5000, 0.0000)
Er (0.5000, 0.5000, 0.2542)
Er (0.5000, 0.5000, 0.5000)
Zr (0.0000, 0.0000, 0.5000)



Material: Pm7Er12Zr
Method: DFT, PBE
State: relaxed

ΔE_f: 0.27 eV per atom
Energy: -4.556 eV/atom

a b c (Å): 12.5460 12.5460 14.2047
angles (deg): 90.00 90.00 120.00
Space group R-3 (No. 148, hexagonal axes)
Asymmetric unit:
Pm (0.0000, 0.0000, 0.0000)
Pm (0.0556, 0.1873, 0.3203)
Er (0.0208, 0.4364, 0.2193)
Er (0.0664, 0.8359, 0.8945)
Zr (0.0000, 0.0000, 0.5000)



Material: PmEr2Zr
Method: DFT, PBE
State: relaxed

ΔE_f: 0.10 eV per atom
Distance to the lowest polymorph of the same formula: 23.9 meV per atom
Energy: -5.508 eV/atom

a b c (Å): 4.8709 4.8709 4.8745
angles (deg): 90.00 90.00 90.00
Space group P4/mmm (No. 123)
Asymmetric unit:
Pm (0.0000, 0.0000, 0.0000)
Er (0.0000, 0.5000, 0.5000)
Zr (0.5000, 0.5000, 0.0000)



Material: PmEr2Zr
Method: DFT, PBE
State: relaxed

ΔE_f: 0.07 eV per atom
Distance to the lowest polymorph of the same formula: 0.0 meV per atom
Energy: -5.532 eV/atom

a b c (Å): 3.4611 3.4611 33.7227
angles (deg): 90.00 90.00 120.00
Space group R3m (No. 160, hexagonal axes)
Asymmetric unit:
Pm (0.0000, 0.0000, 0.0000)
Er (0.0000, 0.0000, 0.2445)
Er (0.0000, 0.0000, 0.4230)
Zr (0.0000, 0.0000, 0.8339)



Material: Pm2ErZr
Method: DFT, PBE
State: relaxed

ΔE_f: 0.12 eV per atom
Distance to the lowest polymorph of the same formula: 0.0 meV per atom
Energy: -5.538 eV/atom

a b c (Å): 4.9364 4.9364 4.8887
angles (deg): 90.00 90.00 90.00
Space group P4/mmm (No. 123)
Asymmetric unit:
Pm (0.0000, 0.5000, 0.0000)
Er (0.0000, 0.0000, 0.5000)
Zr (0.5000, 0.5000, 0.5000)



Material: Pm2ErZr
Method: DFT, PBE
State: relaxed

ΔE_f: 0.30 eV per atom
Distance to the lowest polymorph of the same formula: 187.2 meV per atom
Energy: -5.351 eV/atom

a b c (Å): 3.3966 3.3966 36.2654
angles (deg): 90.00 90.00 120.00
Space group R-3m (No. 166, hexagonal axes)
Asymmetric unit:
Pm (0.0000, 0.0000, 0.0861)
Er (0.0000, 0.0000, 0.5000)
Zr (0.0000, 0.0000, 0.0000)



Material: Pm2ErZr
Method: DFT, PBE
State: relaxed

ΔE_f: 0.17 eV per atom
Distance to the lowest polymorph of the same formula: 53.4 meV per atom
Energy: -5.485 eV/atom

a b c (Å): 4.0611 4.0611 7.2703
angles (deg): 90.00 90.00 90.00
Space group P4/mmm (No. 123)
Asymmetric unit:
Pm (0.0000, 0.0000, 0.2267)
Er (0.5000, 0.5000, 0.5000)
Zr (0.5000, 0.5000, 0.0000)



Material: Pm2Er6Zr
Method: DFT, PBE
State: relaxed

ΔE_f: 0.11 eV per atom
Distance to the lowest polymorph of the same formula: 0.0 meV per atom
Energy: -4.938 eV/atom

a b c (Å): 16.6090 9.5822 3.4018
angles (deg): 90.00 90.19 90.00
Space group C2/m (No. 12)
Asymmetric unit:
Pm (0.1667, 0.0000, 0.0000)
Er (0.0000, 0.1751, 0.5000)
Er (0.1624, 0.3376, 0.4998)
Zr (0.0000, 0.5000, 0.0000)



Material: Pr4Er3
Method: DFT, PBE
State: relaxed

ΔE_f: 0.02 eV per atom
Distance to the lowest polymorph of the same formula: 0.0 meV per atom
Energy: -4.667 eV/atom

a b c (Å): 5.1300 6.2564 8.1357
angles (deg): 97.40 90.11 114.10
Space group P-1 (No. 2)
Asymmetric unit:
Pr (0.1422, 0.2841, 0.4254)
Pr (0.2861, 0.5720, 0.8596)
Er (0.0000, 0.0000, 0.0000)
Er (0.4295, 0.8587, 0.2864)



Material: PrEr5
Method: DFT, PBE
State: relaxed

ΔE_f: 0.13 eV per atom
Distance to the lowest polymorph of the same formula: 105.2 meV per atom
Energy: -4.471 eV/atom

a b c (Å): 9.5619 3.4689 11.6663
angles (deg): 90.00 90.00 90.00
Space group Amm2 (No. 38)
Asymmetric unit:
Pr (0.0000, 0.0000, 0.0000)
Er (0.1826, 0.0000, 0.2742)
Er (0.3259, 0.0000, 0.5400)
Er (0.5000, 0.0000, 0.8180)



Material: PrEr5
Method: DFT, PBE
State: relaxed

ΔE_f: 0.02 eV per atom
Distance to the lowest polymorph of the same formula: 0.0 meV per atom
Energy: -4.576 eV/atom

a b c (Å): 6.1262 10.6061 6.1304
angles (deg): 90.00 109.34 90.00
Space group P2_1/m (No. 11)
Asymmetric unit:
Pr (0.2502, 0.2500, 0.0005)
Er (0.2501, 0.0825, 0.5003)
Er (0.2499, 0.5829, 0.9999)
Er (0.2497, 0.7500, 0.4998)



Material: PrEr4
Method: DFT, PBE
State: relaxed

ΔE_f: 0.72 eV per atom
Distance to the lowest polymorph of the same formula: 720.1 meV per atom
Energy: -3.886 eV/atom

a b c (Å): 5.6068 5.6068 5.6068
angles (deg): 90.00 90.00 90.00
Space group Pm-3m (No. 221)
Asymmetric unit:
Pr (0.0000, 0.0000, 0.0000)
Er (0.0000, 0.0000, 0.5000)
Er (0.5000, 0.5000, 0.5000)



Material: PrEr3
Method: DFT, PBE
State: relaxed

ΔE_f: 0.12 eV per atom
Distance to the lowest polymorph of the same formula: 111.6 meV per atom
Energy: -4.493 eV/atom

a b c (Å): 8.0207 8.0207 8.0207
angles (deg): 90.00 90.00 90.00
Space group Fm-3m (No. 225)
Asymmetric unit:
Pr (0.0000, 0.0000, 0.0000)
Er (0.0000, 0.0000, 0.5000)
Er (0.2500, 0.2500, 0.2500)



Material: Pr2Er
Method: DFT, PBE
State: relaxed

ΔE_f: 0.27 eV per atom
Distance to the lowest polymorph of the same formula: 245.9 meV per atom
Energy: -4.434 eV/atom

a b c (Å): 9.4892 9.4892 9.4892
angles (deg): 90.00 90.00 90.00
Space group Fd-3m (No. 227, origin choice 2)
Asymmetric unit:
Pr (0.0000, 0.0000, 0.0000)
Er (0.1250, 0.1250, 0.6250)



Material: Pr7Er2
Method: DFT, PBE
State: relaxed

ΔE_f: 0.04 eV per atom
Distance to the lowest polymorph of the same formula: 21.4 meV per atom
Energy: -4.691 eV/atom

a b c (Å): 10.0555 10.0555 3.5978
angles (deg): 90.00 90.00 120.00
Space group P-62m (No. 189)
Asymmetric unit:
Pr (0.0000, 0.0000, 0.0000)
Pr (0.0000, 0.3633, 0.0000)
Pr (0.0000, 0.6911, 0.5000)
Er (0.3333, 0.6667, 0.5000)



Material: Pr7Er2
Method: DFT, PBE
State: relaxed

ΔE_f: 0.02 eV per atom
Distance to the lowest polymorph of the same formula: 0.0 meV per atom
Energy: -4.713 eV/atom

a b c (Å): 6.3621 6.3621 9.0028
angles (deg): 90.00 90.00 120.00
Space group P-31m (No. 162)
Asymmetric unit:
Pr (0.0000, 0.0000, 0.0000)
Pr (0.0000, 0.3342, 0.6712)
Er (0.3333, 0.6667, 0.0000)



Material: PrEr4
Method: DFT, PBE
State: relaxed

ΔE_f: 0.27 eV per atom
Distance to the lowest polymorph of the same formula: 270.3 meV per atom
Energy: -4.335 eV/atom

a b c (Å): 6.4731 6.4731 15.6200
angles (deg): 90.00 90.00 90.00
Space group I4_1/a (No. 88, origin choice 2)
Asymmetric unit:
Pr (0.0000, 0.2500, 0.1250)
Er (0.0972, 0.0053, 0.7012)



Material: Pr6Er
Method: DFT, PBE
State: relaxed

ΔE_f: 1.25 eV per atom
Distance to the lowest polymorph of the same formula: 1007.8 meV per atom
Energy: -3.502 eV/atom

a b c (Å): 8.2841 8.2841 8.2841
angles (deg): 90.00 90.00 90.00
Space group Im-3m (No. 229)
Asymmetric unit:
Pr (0.0000, 0.2500, 0.5000)
Er (0.0000, 0.0000, 0.0000)



Material: Pr6Er5
Method: DFT, PBE
State: relaxed

ΔE_f: 0.12 eV per atom
Distance to the lowest polymorph of the same formula: 12.5 meV per atom
Energy: -4.560 eV/atom

a b c (Å): 10.3472 13.4156 6.0901
angles (deg): 90.00 116.58 90.00
Space group C2/m (No. 12)
Asymmetric unit:
Pr (0.1847, 0.0000, 0.0961)
Pr (0.1868, 0.1414, 0.6179)
Er (0.0000, 0.2336, 0.0000)
Er (0.0000, 0.3710, 0.5000)
Er (0.0000, 0.5000, 0.0000)



Material: PrEr7
Method: DFT, PBE
State: relaxed

ΔE_f: 0.02 eV per atom
Energy: -4.567 eV/atom

a b c (Å): 9.9727 9.9727 9.9727
angles (deg): 90.00 90.00 90.00
Space group Fm-3m (No. 225)
Asymmetric unit:
Pr (0.0000, 0.0000, 0.0000)
Er (0.0000, 0.0000, 0.5000)
Er (0.0000, 0.2500, 0.2500)



Material: PrEr3
Method: DFT, PBE
State: relaxed

ΔE_f: 0.01 eV per atom
Distance to the lowest polymorph of the same formula: 0.0 meV per atom
Energy: -4.604 eV/atom

a b c (Å): 7.2328 7.2328 5.6914
angles (deg): 90.00 90.00 120.00
Space group P6_3/mmc (No. 194)
Asymmetric unit:
Pr (0.3333, 0.6667, 0.2500)
Er (0.1650, 0.3301, 0.7500)



Material: Pr5Er7
Method: DFT, PBE
State: relaxed

ΔE_f: 0.01 eV per atom
Distance to the lowest polymorph of the same formula: 0.0 meV per atom
Energy: -4.645 eV/atom

a b c (Å): 18.6834 3.6167 13.1988
angles (deg): 90.00 118.18 90.00
Space group C2/m (No. 12)
Asymmetric unit:
Pr (0.0000, 0.0000, 0.0000)
Pr (0.1645, 0.0000, 0.4966)
Pr (0.1951, 0.5000, 0.7516)
Er (0.0000, 0.5000, 0.5000)
Er (0.0275, 0.0000, 0.7506)
Er (0.1368, 0.5000, 0.2476)
Er (0.1657, 0.5000, 0.9960)



Material: Pr2Er7
Method: DFT, PBE
State: relaxed

ΔE_f: 0.02 eV per atom
Energy: -4.587 eV/atom

a b c (Å): 6.1545 6.1545 8.6870
angles (deg): 90.00 90.00 120.00
Space group P-31m (No. 162)
Asymmetric unit:
Pr (0.3333, 0.6667, 0.0000)
Er (0.0000, 0.0000, 0.0000)
Er (0.0000, 0.3321, 0.6629)



Material: Pr6Er5
Method: DFT, PBE
State: relaxed

ΔE_f: 0.11 eV per atom
Distance to the lowest polymorph of the same formula: 0.0 meV per atom
Energy: -4.572 eV/atom

a b c (Å): 10.0187 15.9984 5.6571
angles (deg): 90.00 124.29 90.00
Space group C2/m (No. 12)
Asymmetric unit:
Pr (0.2093, 0.0000, 0.2101)
Pr (0.2094, 0.1399, 0.7095)
Er (0.0000, 0.2011, 0.0000)
Er (0.0000, 0.3385, 0.5000)
Er (0.0000, 0.5000, 0.0000)